Below is BaTl4Ir after structural relaxation, with properties calculated at the PBEsol level.

abc: 6.117 6.117 6.117
angles: 60.00 60.00 60.00
Atoms (fractional coordinates):
Ba: 0.000 0.000 0.000
Tl: 0.129 0.624 0.624
Tl: 0.624 0.129 0.624
Tl: 0.624 0.624 0.129
Tl: 0.624 0.624 0.624
Ir: 0.250 0.250 0.250

Properties
Energy of formation (meV/atom): 391
Space-group type: No. 216